1.
Crystalline BeTe2Pt at its relaxed geometry. Source: Alexandria via LeMat-Bulk, functional PBE.

Cell lengths 7.7690, 3.8737, 6.3523 Å; angles 90.00, 103.54, 90.00 degrees
Space group Cm (No. 8)
Symmetry-distinct sites (fractional):
Be (0.0000, 0.0000, 0.0000)
Te (0.1622, 0.0000, 0.7301)
Te (0.4428, 0.0000, 0.2744)
Pt (0.2199, 0.5000, 0.0474)

2.
Crystalline LiInSCl2 at its relaxed geometry. Source: Alexandria via LeMat-Bulk, functional PBE.

Properties
offset from the most stable computed form = 0.000 eV/atom

Cell lengths 5.2596, 5.2596, 4.9106 Å; angles 90.00, 90.00, 90.00 degrees
Space group P4/mmm (No. 123)
Symmetry-distinct sites (fractional):
Li (0.0000, 0.0000, 0.0000)
In (0.5000, 0.5000, 0.5000)
S (0.5000, 0.5000, 0.0000)
Cl (0.0000, 0.5000, 0.5000)

3.
Crystalline PS at its relaxed geometry. Source: Alexandria via LeMat-Bulk, functional PBE.

Properties
offset from the most stable computed form = 0.450 eV/atom

Cell lengths 2.5478, 3.3233, 10.7139 Å; angles 90.00, 90.00, 90.00 degrees
Space group Imm2 (No. 44)
Symmetry-distinct sites (fractional):
P (0.0000, 0.0000, 0.0000)
S (0.0000, 0.0000, 0.1865)

4.
Crystalline NdSmDyHo3 at its relaxed geometry. Source: Alexandria via LeMat-Bulk, functional PBE.

Properties
energy of formation = 0.196 eV/atom

Cell lengths 19.7042, 5.6331, 7.0563 Å; angles 90.00, 90.25, 90.00 degrees
Space group C2/m (No. 12)
Symmetry-distinct sites (fractional):
Nd (0.1464, 0.0000, 0.0313)
Sm (0.0534, 0.5000, 0.2606)
Dy (0.1495, 0.0000, 0.4584)
Ho (0.0230, 0.0000, 0.7413)
Ho (0.1652, 0.5000, 0.7364)
Ho (0.2205, 0.5000, 0.2466)

| no. | N(E_F) (states/eV per atom) | E_tot (eV/atom) | total magnetization (μB/atom) |
| --- | --- | --- | --- |
| 1 | 0.3145 | -4.254 | 0.000 |
| 2 | 0.3886 | -3.233 | 0.000 |
| 3 | 0.1272 | -4.456 | 0.000 |
| 4 | 1.6018 | -4.441 | 0.000 |